No. 1
The following is a DFT calculation (PBE-GGA) of an optimized crystal structure of SmGdNi.

Symmetry: I4mm (107)
Excess energy over the best structure of this formula in the dataset: 0 meV/atom
V: 75.7 Å³/f.u.
E_form: -186 meV per atom
DOS(E_F): 7.16 states/eV per cell

abc: 3.4605 3.4605 12.6408
angles: 90.00 90.00 90.00
With the nearest neighbours (Å) after each atom.
Fractional positions:
Sm (0.0000, 0.0000, 0.0000)  4 Ni 2.97, 1 Gd 3.28
Sm (0.5000, 0.5000, 0.5000)  4 Ni 2.97, 1 Gd 3.28
Gd (0.0000, 0.0000, 0.7401)  4 Ni 2.93
Gd (0.5000, 0.5000, 0.2401)  4 Ni 2.93
Ni (0.0000, 0.0000, 0.3673)  4 Gd 2.93, 4 Sm 2.97
Ni (0.5000, 0.5000, 0.8673)  4 Gd 2.93, 4 Sm 2.97

No. 2
The following is a DFT calculation (PBE-GGA) of an optimized crystal structure of GdNi4Sn.

Symmetry: F-43m (216)
V: 89.1 Å³/f.u.
E_form: -363 meV per atom
DOS(E_F): 6.36 states/eV per cell

abc: 5.0131 5.0131 5.0131
angles: 60.00 60.00 60.00
With the nearest neighbours (Å) after each atom.
Fractional positions:
Gd (0.0000, 0.0000, 0.0000)  12 Ni 2.94, 4 Sn 3.07
Ni (0.3756, 0.3756, 0.3756)  6 Ni 2.49-2.52
Ni (0.3756, 0.3756, 0.8732)  6 Ni 2.49-2.52
Ni (0.3756, 0.8732, 0.3756)  6 Ni 2.49-2.52
Ni (0.8732, 0.3756, 0.3756)  6 Ni 2.49-2.52
Sn (0.7500, 0.7500, 0.7500)  12 Ni 2.94, 4 Gd 3.07

Question: Which value of DOS(E_F) does entry 2 give?
Answer: 6.36 states/eV per cell